1.
DFT (GGA-PBE) results for a relaxed structure of Nb2Mo2W3.

Values from the calculation:
Mass density, g/cm³: 13.31
Energy above the most stable polymorph in this dataset, meV per atom: 15.8
Space group: C2/m (12)

a b c (Å): 10.181 3.205 7.175
angles (deg): 90.00 98.01 90.00
Sites, in units of the cell vectors:
Nb1 0.070 0.000 0.213
Nb2 0.430 0.500 0.787
Nb3 0.570 0.500 0.213
Nb4 0.930 0.000 0.787
Mo1 0.147 0.500 0.928
Mo2 0.353 0.000 0.072
Mo3 0.647 0.000 0.928
Mo4 0.853 0.500 0.072
W1 0.000 0.500 0.500
W2 0.212 0.000 0.641
W3 0.288 0.500 0.359
W4 0.500 0.000 0.500
W5 0.712 0.500 0.641
W6 0.788 0.000 0.359

2.
DFT (GGA-PBE) results for a relaxed structure of Nb7Mo2W3.

Values from the calculation:
Mass density, g/cm³: 10.15
Space group: Cmmm (65)

a b c (Å): 11.294 11.294 4.471
angles (deg): 90.00 90.00 156.42
Sites, in units of the cell vectors:
Nb1 0.000 0.000 0.000
Nb2 0.077 0.923 0.500
Nb3 0.285 0.715 0.000
Nb4 0.426 0.574 0.000
Nb5 0.574 0.426 0.000
Nb6 0.715 0.285 0.000
Nb7 0.923 0.077 0.500
Mo1 0.148 0.852 0.000
Mo2 0.852 0.148 0.000
W1 0.354 0.646 0.500
W2 0.500 0.500 0.500
W3 0.646 0.354 0.500

3.
DFT (GGA-PBE) results for a relaxed structure of Nb12Mo6W.

Values from the calculation:
Mass density, g/cm³: 9.14
Space group: R-3 (148)

a b c (Å): 7.710 7.710 7.710
angles (deg): 110.36 110.36 110.36
Sites, in units of the cell vectors:
Nb1 0.046 0.711 0.165
Nb2 0.165 0.046 0.711
Nb3 0.186 0.450 0.323
Nb4 0.289 0.835 0.954
Nb5 0.323 0.186 0.450
Nb6 0.450 0.323 0.186
Nb7 0.550 0.677 0.814
Nb8 0.677 0.814 0.550
Nb9 0.711 0.165 0.046
Nb10 0.814 0.550 0.677
Nb11 0.835 0.954 0.289
Nb12 0.954 0.289 0.835
Mo1 0.099 0.391 0.600
Mo2 0.391 0.600 0.099
Mo3 0.400 0.901 0.609
Mo4 0.600 0.099 0.391
Mo5 0.609 0.400 0.901
Mo6 0.901 0.609 0.400
W1 0.000 0.000 0.000

4.
DFT (GGA-PBE) results for a relaxed structure of Nb3MoW4.

Values from the calculation:
Mass density, g/cm³: 13.72
Energy above the most stable polymorph in this dataset, meV per atom: 0.0
Space group: P4/mmm (123)

a b c (Å): 3.224 3.224 12.923
angles (deg): 90.00 90.00 90.00
Sites, in units of the cell vectors:
Nb1 0.000 0.000 0.000
Nb2 0.000 0.000 0.252
Nb3 0.000 0.000 0.748
Mo1 0.000 0.000 0.500
W1 0.500 0.500 0.127
W2 0.500 0.500 0.379
W3 0.500 0.500 0.621
W4 0.500 0.500 0.873

5.
DFT (GGA-PBE) results for a relaxed structure of Nb6MoW.

Values from the calculation:
Mass density, g/cm³: 9.90
Energy above the most stable polymorph in this dataset, meV per atom: 0.0
Space group: Amm2 (38)

a b c (Å): 4.647 6.566 9.206
angles (deg): 90.00 90.00 90.00
Sites, in units of the cell vectors:
Nb1 0.000 0.000 0.000
Nb2 0.000 0.245 0.252
Nb3 0.000 0.255 0.752
Nb4 0.000 0.500 0.500
Nb5 0.000 0.745 0.752
Nb6 0.000 0.755 0.252
Nb7 0.500 0.000 0.752
Nb8 0.500 0.246 0.502
Nb9 0.500 0.254 0.002
Nb10 0.500 0.500 0.252
Nb11 0.500 0.746 0.002
Nb12 0.500 0.754 0.502
Mo1 0.500 0.000 0.253
Mo2 0.500 0.500 0.753
W1 0.000 0.000 0.503
W2 0.000 0.500 0.003

6.
DFT (GGA-PBE) results for a relaxed structure of Nb4Mo5W2.

Values from the calculation:
Mass density, g/cm³: 10.49
Energy above the most stable polymorph in this dataset, meV per atom: 39.3
Space group: P2/m (10)

a b c (Å): 7.461 3.048 8.489
angles (deg): 90.00 91.74 90.00
Sites, in units of the cell vectors:
Nb1 0.177 0.000 0.120
Nb2 0.291 0.000 0.546
Nb3 0.709 0.000 0.454
Nb4 0.823 0.000 0.880
Mo1 0.200 0.500 0.841
Mo2 0.454 0.500 0.300
Mo3 0.500 0.500 0.000
Mo4 0.546 0.500 0.700
Mo5 0.800 0.500 0.159
W1 0.051 0.500 0.360
W2 0.949 0.500 0.640

7.
DFT (GGA-PBE) results for a relaxed structure of Nb3Mo4W.

Values from the calculation:
Mass density, g/cm³: 10.55
Energy above the most stable polymorph in this dataset, meV per atom: 0.0
Space group: P4/mmm (123)

a b c (Å): 3.215 3.215 12.894
angles (deg): 90.00 90.00 90.00
Sites, in units of the cell vectors:
Nb1 0.000 0.000 0.000
Nb2 0.000 0.000 0.251
Nb3 0.000 0.000 0.749
Mo1 0.500 0.500 0.126
Mo2 0.500 0.500 0.379
Mo3 0.500 0.500 0.621
Mo4 0.500 0.500 0.874
W1 0.000 0.000 0.500

8.
DFT (GGA-PBE) results for a relaxed structure of YNbMo.

Values from the calculation:
Mass density, g/cm³: 6.47
Space group: Cmcm (63)

a b c (Å): 3.273 20.350 4.281
angles (deg): 90.00 90.00 90.00
Sites, in units of the cell vectors:
Y1 0.000 0.188 0.250
Y2 0.000 0.812 0.750
Y3 0.500 0.312 0.750
Y4 0.500 0.688 0.250
Nb1 0.000 0.443 0.750
Nb2 0.000 0.557 0.250
Nb3 0.500 0.057 0.250
Nb4 0.500 0.943 0.750
Mo1 0.000 0.057 0.750
Mo2 0.000 0.943 0.250
Mo3 0.500 0.443 0.250
Mo4 0.500 0.557 0.750

9.
DFT (GGA-PBE) results for a relaxed structure of YNb2Mo2.

Values from the calculation:
Mass density, g/cm³: 7.35
Space group: I4/mmm (139)

a b c (Å): 4.338 4.338 11.204
angles (deg): 90.00 90.00 90.00
Sites, in units of the cell vectors:
Y1 0.000 0.000 0.000
Y2 0.500 0.500 0.500
Nb1 0.000 0.500 0.250
Nb2 0.000 0.500 0.750
Nb3 0.500 0.000 0.250
Nb4 0.500 0.000 0.750
Mo1 0.000 0.000 0.387
Mo2 0.000 0.000 0.613
Mo3 0.500 0.500 0.113
Mo4 0.500 0.500 0.887

10.
DFT (GGA-PBE) results for a relaxed structure of Y2NbMo.

Values from the calculation:
Mass density, g/cm³: 6.56
Energy above the most stable polymorph in this dataset, meV per atom: 0.0
Space group: Fm-3m (225)

a b c (Å): 7.187 7.187 7.187
angles (deg): 90.00 90.00 90.00
Sites, in units of the cell vectors:
Y1 0.250 0.250 0.250
Y2 0.250 0.250 0.750
Y3 0.250 0.750 0.250
Y4 0.250 0.750 0.750
Y5 0.750 0.250 0.250
Y6 0.750 0.250 0.750
Y7 0.750 0.750 0.250
Y8 0.750 0.750 0.750
Nb1 0.000 0.000 0.000
Nb2 0.000 0.500 0.500
Nb3 0.500 0.000 0.500
Nb4 0.500 0.500 0.000
Mo1 0.000 0.000 0.500
Mo2 0.000 0.500 0.000
Mo3 0.500 0.000 0.000
Mo4 0.500 0.500 0.500

11.
DFT (GGA-PBE) results for a relaxed structure of YNb2Mo2.

Values from the calculation:
Mass density, g/cm³: 7.86
Space group: P4/mbm (127)

a b c (Å): 7.853 7.853 3.197
angles (deg): 90.00 90.00 90.00
Sites, in units of the cell vectors:
Y1 0.000 0.000 0.000
Y2 0.500 0.500 0.000
Nb1 0.145 0.355 0.500
Nb2 0.355 0.855 0.500
Nb3 0.645 0.145 0.500
Nb4 0.855 0.645 0.500
Mo1 0.143 0.643 0.000
Mo2 0.357 0.143 0.000
Mo3 0.643 0.857 0.000
Mo4 0.857 0.357 0.000

12.
DFT (GGA-PBE) results for a relaxed structure of YNbMo3.

Values from the calculation:
Mass density, g/cm³: 6.93
Energy above the most stable polymorph in this dataset, meV per atom: 0.0
Space group: Pm-3m (221)

a b c (Å): 4.828 4.828 4.828
angles (deg): 90.00 90.00 90.00
Sites, in units of the cell vectors:
Y1 0.000 0.000 0.000
Nb1 0.500 0.500 0.500
Mo1 0.000 0.500 0.500
Mo2 0.500 0.000 0.500
Mo3 0.500 0.500 0.000

13.
DFT (GGA-PBE) results for a relaxed structure of YNbMo4.

Values from the calculation:
Mass density, g/cm³: 8.45
Space group: F-43m (216)

a b c (Å): 5.396 5.396 5.396
angles (deg): 60.00 60.00 60.00
Sites, in units of the cell vectors:
Y1 0.000 0.000 0.000
Nb1 0.250 0.250 0.250
Mo1 0.126 0.625 0.625
Mo2 0.625 0.126 0.625
Mo3 0.625 0.625 0.126
Mo4 0.625 0.625 0.625

14.
DFT (GGA-PBE) results for a relaxed structure of Y2NbMo.

Values from the calculation:
Mass density, g/cm³: 6.47
Energy above the most stable polymorph in this dataset, meV per atom: 370.5
Space group: I-42d (122)

a b c (Å): 7.920 7.920 6.005
angles (deg): 90.00 90.00 90.00
Sites, in units of the cell vectors:
Y1 0.234 0.250 0.125
Y2 0.250 0.734 0.375
Y3 0.250 0.766 0.875
Y4 0.266 0.250 0.625
Y5 0.734 0.750 0.625
Y6 0.750 0.234 0.875
Y7 0.750 0.266 0.375
Y8 0.766 0.750 0.125
Nb1 0.000 0.000 0.500
Nb2 0.000 0.500 0.750
Nb3 0.500 0.000 0.250
Nb4 0.500 0.500 0.000
Mo1 0.000 0.000 0.000
Mo2 0.000 0.500 0.250
Mo3 0.500 0.000 0.750
Mo4 0.500 0.500 0.500

15.
DFT (GGA-PBE) results for a relaxed structure of Y2Nb2Mo.

Values from the calculation:
Mass density, g/cm³: 6.58
Space group: P4/mbm (127)

a b c (Å): 6.677 6.677 5.204
angles (deg): 90.00 90.00 90.00
Sites, in units of the cell vectors:
Y1 0.173 0.327 0.000
Y2 0.327 0.827 0.000
Y3 0.673 0.173 0.000
Y4 0.827 0.673 0.000
Nb1 0.144 0.644 0.500
Nb2 0.356 0.144 0.500
Nb3 0.644 0.856 0.500
Nb4 0.856 0.356 0.500
Mo1 0.000 0.000 0.500
Mo2 0.500 0.500 0.500

16.
DFT (GGA-PBE) results for a relaxed structure of Nb2Zn2Mo.

Values from the calculation:
Mass density, g/cm³: 8.04
Energy above the most stable polymorph in this dataset, meV per atom: 335.7
Space group: I4/mmm (139)

a b c (Å): 3.759 3.759 12.060
angles (deg): 90.00 90.00 90.00
Sites, in units of the cell vectors:
Nb1 0.000 0.500 0.250
Nb2 0.000 0.500 0.750
Nb3 0.500 0.000 0.250
Nb4 0.500 0.000 0.750
Zn1 0.000 0.000 0.092
Zn2 0.000 0.000 0.908
Zn3 0.500 0.500 0.408
Zn4 0.500 0.500 0.592
Mo1 0.000 0.000 0.500
Mo2 0.500 0.500 0.000

17.
DFT (GGA-PBE) results for a relaxed structure of Nb5ZnMo4.

Values from the calculation:
Mass density, g/cm³: 9.00
Space group: P4/mmm (123)

a b c (Å): 3.263 3.263 15.823
angles (deg): 90.00 90.00 90.00
Sites, in units of the cell vectors:
Nb1 0.000 0.000 0.000
Nb2 0.000 0.000 0.204
Nb3 0.000 0.000 0.402
Nb4 0.000 0.000 0.598
Nb5 0.000 0.000 0.796
Zn1 0.500 0.500 0.500
Mo1 0.500 0.500 0.101
Mo2 0.500 0.500 0.306
Mo3 0.500 0.500 0.694
Mo4 0.500 0.500 0.899

18.
DFT (GGA-PBE) results for a relaxed structure of NbZn3Mo.

Values from the calculation:
Mass density, g/cm³: 6.23
Energy above the most stable polymorph in this dataset, meV per atom: 0.0
Space group: Pm-3m (221)

a b c (Å): 4.683 4.683 4.683
angles (deg): 90.00 90.00 90.00
Sites, in units of the cell vectors:
Nb1 0.000 0.000 0.000
Zn1 0.000 0.500 0.500
Zn2 0.500 0.000 0.500
Zn3 0.500 0.500 0.000
Mo1 0.500 0.500 0.500

19.
DFT (GGA-PBE) results for a relaxed structure of NbZn2Mo2.

Values from the calculation:
Mass density, g/cm³: 8.83
Space group: P4/mbm (127)

a b c (Å): 6.779 6.779 3.401
angles (deg): 90.00 90.00 90.00
Sites, in units of the cell vectors:
Nb1 0.000 0.000 0.000
Nb2 0.500 0.500 0.000
Zn1 0.123 0.377 0.000
Zn2 0.377 0.877 0.000
Zn3 0.623 0.123 0.000
Zn4 0.877 0.623 0.000
Mo1 0.177 0.677 0.500
Mo2 0.323 0.177 0.500
Mo3 0.677 0.823 0.500
Mo4 0.823 0.323 0.500

20.
DFT (GGA-PBE) results for a relaxed structure of Nb2Zn2Mo.

Values from the calculation:
Mass density, g/cm³: 8.45
Energy above the most stable polymorph in this dataset, meV per atom: 0.0
Space group: P4/mbm (127)

a b c (Å): 6.824 6.824 3.484
angles (deg): 90.00 90.00 90.00
Sites, in units of the cell vectors:
Nb1 0.180 0.320 0.000
Nb2 0.320 0.820 0.000
Nb3 0.680 0.180 0.000
Nb4 0.820 0.680 0.000
Zn1 0.123 0.623 0.500
Zn2 0.377 0.123 0.500
Zn3 0.623 0.877 0.500
Zn4 0.877 0.377 0.500
Mo1 0.000 0.000 0.500
Mo2 0.500 0.500 0.500

no.,uncorrected energy (eV/f.u.),formation enthalpy at 0 K (meV/atom),V (Å³/cell)
1,-81.3,-85,231.8
2,-125.6,452,228.1
3,-193.5,279,340.7
4,-93.3,-55,134.3
5,-84.5,-38,280.9
6,-115.9,403,193.0
7,-87.4,-120,133.2
8,-26.2,400,285.1
9,-46.7,318,210.8
10,-31.5,582,371.2
11,-46.7,317,197.1
12,-42.8,1255,112.6
13,-59.4,75,111.1
14,-30.0,953,376.7
15,-42.7,240,232.0
16,-31.4,418,170.4
17,-96.0,-108,168.5
18,-18.1,1322,102.7
19,-33.5,166,156.3
20,-33.1,82,162.2